No. 1
Below is a geometry-optimized P2RuBr structure, with properties calculated at the PBE level.

The space group is P2/m (No. 10) and the conventional cell measures 5.0565, 3.5510 and 5.2704 Å, with angles of 90.00, 93.28 and 90.00 degrees. The inequivalent atoms are P at (0.1997, 0.0000, 0.4828), Ru at (0.5000, 0.5000, 0.5000) and Br at (0.5000, 0.5000, 0.0000).

As for the uncorrected energy: -21.3 eV/cell. For the formation energy from raw total energies, the calculation gives 10 kJ per mole of atoms. The excess energy over the best structure of this formula in the dataset is 205 meV per atom.


No. 2
Below is a geometry-optimized PRuBr2 structure, with properties calculated at the PBE level.

The space group is P2/m (No. 10) and the conventional cell measures 4.4659, 3.7701 and 7.2961 Å, with angles of 90.00, 107.51 and 90.00 degrees. The inequivalent atoms are P at (0.0000, 0.0000, 0.0000), Ru at (0.5000, 0.0000, 0.0000) and Br at (0.3762, 0.5000, 0.7480).

As for the uncorrected energy: -17.9 eV/cell. For the formation energy from raw total energies, the calculation gives 4 kJ per mole of atoms. The excess energy over the best structure of this formula in the dataset is 284 meV per atom.


No. 3
Below is a geometry-optimized P2RuBr structure, with properties calculated at the PBE level.

The space group is I4/mmm (No. 139) and the conventional cell measures 4.1279, 4.1279 and 7.4545 Å, with angles of 90.00, 90.00 and 90.00 degrees. The inequivalent atoms are P at (0.0000, 0.5000, 0.2500), Ru at (0.0000, 0.0000, 0.0000) and Br at (0.0000, 0.0000, 0.5000).

As for the uncorrected energy: -36.7 eV/cell. For the formation energy from raw total energies, the calculation gives 83 kJ per mole of atoms. The excess energy over the best structure of this formula in the dataset is 958 meV per atom.


No. 4
Below is a geometry-optimized PRuBr2 structure, with properties calculated at the PBE level.

The space group is Cmm2 (No. 35) and the conventional cell measures 4.1094, 4.3392 and 10.2767 Å, with angles of 90.00, 90.00 and 90.00 degrees. The inequivalent atoms are P at (0.0000, 0.0000, 0.0000), Ru at (0.0000, 0.5000, 0.1173), Br at (0.0000, 0.0000, 0.3145) and Br at (0.0000, 0.5000, 0.6941).

As for the uncorrected energy: -34.4 eV/cell. For the formation energy from raw total energies, the calculation gives 20 kJ per mole of atoms. The excess energy over the best structure of this formula in the dataset is 447 meV per atom.


No. 5
Below is a geometry-optimized PRuBr2 structure, with properties calculated at the PBE level.

The space group is Fm-3m (No. 225) and the conventional cell measures 6.6801, 6.6801 and 6.6801 Å, with angles of 90.00, 90.00 and 90.00 degrees. The inequivalent atoms are P at (0.0000, 0.0000, 0.0000), Ru at (0.0000, 0.0000, 0.5000) and Br at (0.2500, 0.2500, 0.2500).

As for the uncorrected energy: -55.1 eV/cell. For the formation energy from raw total energies, the calculation gives 102 kJ per mole of atoms. The excess energy over the best structure of this formula in the dataset is 1302 meV per atom.


No. 6
Below is a geometry-optimized P2RuBr structure, with properties calculated at the PBE level.

The space group is C2/m (No. 12) and the conventional cell measures 7.1616, 3.1430 and 7.5450 Å, with angles of 90.00, 109.59 and 90.00 degrees. The inequivalent atoms are P at (0.1490, 0.0000, 0.3470), Ru at (0.0000, 0.5000, 0.5000) and Br at (0.0000, 0.0000, 0.0000).

As for the uncorrected energy: -44.3 eV/cell. For the formation energy from raw total energies, the calculation gives -10 kJ per mole of atoms. The excess energy over the best structure of this formula in the dataset is 0 meV per atom.


What did the fifth record say?
Below is a geometry-optimized PRuBr2 structure, with properties calculated at the PBE level.

The space group is Fm-3m (No. 225) and the conventional cell measures 6.6801, 6.6801 and 6.6801 Å, with angles of 90.00, 90.00 and 90.00 degrees. The inequivalent atoms are P at (0.0000, 0.0000, 0.0000), Ru at (0.0000, 0.0000, 0.5000) and Br at (0.2500, 0.2500, 0.2500).

As for the uncorrected energy: -55.1 eV/cell. For the formation energy from raw total energies, the calculation gives 102 kJ per mole of atoms. The excess energy over the best structure of this formula in the dataset is 1302 meV per atom.